1.
Crystalline Li2MnIn at its relaxed geometry, computed with PBE.

Cell lengths 2.978, 4.184, 5.717 Å; angles 90.00, 90.00, 90.00 degrees
Site moments in Bohr magnetons follow the coordinates.
Fractional positions:
1 Li 0.000 0.000 0.494  -0.02
2 Li 0.000 0.000 0.006  -0.02
3 Mn 0.500 0.500 0.250  3.75
4 In 0.500 0.500 0.750  -0.06

Density of states at the Fermi level (states/eV per atom): 0.563
Calculated formation energy (kJ/mol of atoms): 10.9
Raw total energy (eV/atom): -3.8212

---

2.
Crystalline LiMn2In at its relaxed geometry, computed with PBE.

Cell lengths 4.889, 4.889, 4.889 Å; angles 131.78, 131.96, 70.43 degrees
Site moments in Bohr magnetons follow the coordinates.
Fractional positions:
1 In 0.750 0.250 0.500  -0.15
2 Mn 0.500 0.500 0.000  3.32
3 Mn 0.000 0.000 0.000  3.32
4 Li 0.250 0.750 0.500  -0.06

Density of states at the Fermi level (states/eV per atom): 0.974
Calculated formation energy (kJ/mol of atoms): 20.7
Raw total energy (eV/atom): -5.5336

---

3.
Crystalline LiMn2In at its relaxed geometry, computed with PBE.

Cell lengths 4.832, 4.832, 2.955 Å; angles 90.00, 90.00, 108.83 degrees
Site moments in Bohr magnetons follow the coordinates.
Fractional positions:
1 Mn 0.000 0.000 0.000  3.37
2 Mn 0.500 0.500 0.000  3.37
3 Li 0.000 0.500 0.500  -0.07
4 In 0.500 0.000 0.500  -0.14

Density of states at the Fermi level (states/eV per atom): 0.859
Calculated formation energy (kJ/mol of atoms): 28.0
Raw total energy (eV/atom): -5.4573

---

4.
Crystalline LiMn3In at its relaxed geometry, computed with PBE.

Cell lengths 5.131, 5.131, 5.131 Å; angles 90.00, 90.00, 90.00 degrees
Site moments in Bohr magnetons follow the coordinates.
Fractional positions:
1 Mn 0.000 0.000 0.500  4.20
2 Mn 0.000 0.500 0.000  4.05
3 Mn 0.500 0.000 0.000  3.94
4 Li 0.500 0.500 0.500  -0.04
5 In 0.000 0.000 0.000  -0.11

Density of states at the Fermi level (states/eV per atom): 1.389
Calculated formation energy (kJ/mol of atoms): 108.5
Offset from the most stable computed form (meV per atom): 303
Raw total energy (eV/atom): -5.3073

---

What is the density of states at the Fermi level in the fourth record?
1.389 states/eV per atom